No. 1
Compound: Sm2Be4Ge3Au
Source: Alexandria
Functional: GGA-PBE
Structure: optimized geometry

Structure (POSCAR):
```
Sm2Be4Ge3Au
1.0
-3.064 -2.017 1.631
2.237 -3.333 0.082
3.248 2.402 9.072
Be Sm Ge Au
4 2 3 1
Cartesian
0.529 0.517 6.574 Be
-0.414 -2.675 0.856 Be
0.000 0.000 0.000 Be
2.305 -0.789 3.355 Be
-0.737 -0.420 3.038 Sm
3.571 0.148 6.891 Sm
1.546 -1.350 1.236 Ge
1.624 1.201 4.536 Ge
1.288 1.078 8.693 Ge
1.210 -1.474 5.393 Au
```

Results
* spin magnetization: 0.0 μB per formula unit
* E_tot: -4.5976 eV per atom
* formation energy: -450 meV per atom
* symmetry: No. 115

=====

No. 2
Compound: Sm2BeGe2Au4
Source: Alexandria
Functional: GGA-PBE
Structure: optimized geometry

Structure (POSCAR):
```
Sm2BeGe2Au4
1.0
6.399 -0.174 -0.251
-3.224 5.530 0.251
-3.224 -1.708 5.265
Sm Ge Au Be
2 2 4 1
Cartesian
-0.025 3.633 1.379 Sm
-0.025 0.015 3.886 Sm
-1.899 1.126 1.625 Ge
-4.549 2.696 3.892 Ge
1.651 0.903 1.304 Au
-3.224 3.648 1.555 Au
-1.700 2.745 3.962 Au
-3.224 0.174 3.962 Au
0.000 0.000 0.000 Be
```

Results
* spin magnetization: 0.0 μB per formula unit
* E_tot: -4.4545 eV per atom
* formation energy: -509 meV per atom
* symmetry: No. 139

=====

No. 3
Compound: SrBeGeAu2
Source: Alexandria
Functional: GGA-PBE
Structure: optimized geometry

Structure (POSCAR):
```
SrBeGeAu2
1.0
4.750 0.000 0.000
0.000 4.750 0.000
0.000 0.000 4.604
Ge Au Sr Be
1 2 1 1
Cartesian
0.000 0.000 2.302 Ge
2.375 0.000 0.000 Au
0.000 2.375 0.000 Au
2.375 2.375 2.302 Sr
0.000 0.000 0.000 Be
```

Results
* spin magnetization: 0.0 μB per formula unit
* E_tot: -3.6158 eV per atom
* formation energy: -300 meV per atom
* symmetry: No. 123

=====

No. 4
Compound: Tb2BeGe2Au4
Source: Alexandria
Functional: GGA-PBE
Structure: optimized geometry

Structure (POSCAR):
```
Tb2BeGe2Au4
1.0
6.336 -0.167 -0.240
-3.187 5.478 0.240
-3.187 -1.700 5.213
Tb Au Ge Be
2 4 2 1
Cartesian
-0.019 0.012 3.850 Tb
-0.019 3.601 1.363 Tb
-3.187 3.608 1.536 Au
-3.187 0.171 3.918 Au
1.641 0.898 1.296 Au
-1.680 2.714 3.918 Au
-1.847 1.095 1.581 Ge
-4.527 2.683 3.873 Ge
0.000 0.000 0.000 Be
```

Results
* spin magnetization: 0.0 μB per formula unit
* E_tot: -4.4290 eV per atom
* formation energy: -503 meV per atom
* symmetry: No. 139